## HoPaIrRh (PBE)

Data for a geometry-optimized HoPaIrRh structure.

Summary:
As for the excess energy over the best structure of this formula in the dataset: 0.000 eV/atom. For the energy, the calculation gives -67.758 eV/cell. The formation energy is -0.898 eV per atom.

a = 4.221 Å, b = 3.772 Å, c = 10.565 Å
α = 90.00°, β = 90.00°, γ = 90.00°
Space group Amm2 (No. 38)
Asymmetric unit:
Ho 0.000 0.000 0.000 [2 per cell]
Pa 0.500 0.000 0.280 [2 per cell]
Ir 0.000 0.000 0.731 [2 per cell]
Rh 0.500 0.000 0.539 [2 per cell]